No. 1
SCAN TaHg2Pb, PBEsol geometry; size of the total moment = 0.0 μB per cell; E_form = 225 kJ/mol of formula units; D(E_F) = 2.04 states/eV/f.u.
1.0
4.2438 0.0000 0.0000
0.0000 4.2438 0.0000
0.0000 0.0000 4.6410
Hg Pb Ta
2 1 1
direct
0.5000 0.0000 0.0000
0.0000 0.5000 0.0000
0.5000 0.5000 0.5000
0.0000 0.0000 0.5000

No. 2
SCAN TaInAu2, PBEsol geometry; size of the total moment = 0.0 μB per cell; E_form = 49 kJ/mol of formula units; D(E_F) = 1.88 states/eV/f.u.
1.0
-0.1819 1.2924 2.7879
-3.6504 -2.9535 1.1310
3.1739 -3.2641 1.7202
Au In Ta
2 1 1
direct
0.0000 0.0000 0.0000
0.5000 0.0000 0.5000
0.5000 0.5000 0.0000
0.0000 0.5000 0.5000

No. 3
SCAN BaAlAs, PBEsol geometry; size of the total moment = 0.0 μB per cell; E_form = -138 kJ/mol of formula units; D(E_F) = 1.54 states/eV/f.u.
1.0
3.6463 0.0000 0.0000
0.0000 3.6463 0.0000
-1.8231 -1.8231 5.8037
Ba Al As
1 1 1
direct
0.6684 0.6684 0.3368
0.9569 0.9569 0.9138
0.3747 0.3747 0.7494